Below is crystalline Er3BiSe2 at its relaxed geometry, with properties calculated at the PBE level.

Calculated values
* symmetry: Imma, No. 74
* density of states at the Fermi level: 0.661 states/eV per atom
* crystal system: orthorhombic
* calculated volume: 361.7 Å³/cell
* formation energy from raw total energies: -1083.5 meV/atom
* total energy: -5.17 eV/atom

abc: 9.032 7.963 7.963
angles: 55.28 55.45 55.45
Site moments in Bohr magnetons follow the coordinates.
Element x y z (fractional)
Er (0.000, 0.723, 0.277)  0.12
Er (0.000, 0.277, 0.723)  0.12
Er (0.500, 0.777, 0.223)  0.12
Er (0.500, 0.000, 0.500)  0.03
Er (0.500, 0.500, 0.000)  0.03
Er (0.500, 0.223, 0.777)  0.12
Bi (0.189, 0.250, 0.250)  0.00
Bi (0.811, 0.750, 0.750)  0.00
Se (0.257, 0.950, 0.950)  0.00
Se (0.343, 0.450, 0.450)  0.00
Se (0.657, 0.550, 0.550)  0.00
Se (0.743, 0.050, 0.050)  0.00